Entry 1:
This record from Alexandria describes a geometry-optimized MgGaPS2 structure. The functional is PBEsol.

Lattice parameters (Å, degrees): 4.7219 4.7219 4.5648 90.00 90.00 90.00
With the nearest neighbours (Å) after each atom.
Space group P4/mmm (No. 123)
Asymmetric unit:
Mg 0.0000 0.0000 0.0000  8 S 3.28, 4 P 3.34
Ga 0.5000 0.5000 0.5000  2 P 2.28, 4 S 2.36
P 0.5000 0.5000 0.0000  2 Ga 2.28
S 0.0000 0.5000 0.5000  2 Ga 2.36

Values from the calculation:
- Uncorrected formation energy: 0.21 eV/atom

---

Entry 2:
This record from Alexandria describes a geometry-optimized MgGa3Pb structure. The functional is PBEsol.

Lattice parameters (Å, degrees): 5.3904 5.3904 5.3904 90.00 90.00 90.00
With the nearest neighbours (Å) after each atom.
Space group Pm-3m (No. 221)
Asymmetric unit:
Mg 0.0000 0.0000 0.0000  12 Ga 3.81
Ga 0.0000 0.5000 0.5000  2 Pb 2.70
Pb 0.5000 0.5000 0.5000  6 Ga 2.70

Values from the calculation:
- Formation energy: 0.6814 eV/atom

---

Entry 3:
This record from Alexandria describes a geometry-optimized Mg2Ga2Pb structure. The functional is PBEsol.

Lattice parameters (Å, degrees): 4.3669 4.3669 11.7288 90.00 90.00 90.00
With the nearest neighbours (Å) after each atom.
Space group I4/mmm (No. 139)
Asymmetric unit:
Mg 0.0000 0.5000 0.2500  4 Ga 2.78, 4 Mg 3.09
Ga 0.0000 0.0000 0.1029  1 Ga 2.41
Pb 0.0000 0.0000 0.5000  8 Ga 3.32, 8 Mg 3.66

Values from the calculation:
- Formation energy: -0.0270 eV/atom
- Energy above the lowest structure with this stoichiometry: 6.0 kJ/mol of atoms

---

Entry 4:
This record from Alexandria describes a geometry-optimized Mg2Ga2Pb structure. The functional is PBEsol.

Lattice parameters (Å, degrees): 8.0792 8.0792 3.2376 90.00 90.00 90.00
With the nearest neighbours (Å) after each atom.
Space group P4/mbm (No. 127)
Asymmetric unit:
Mg 0.1804 0.3196 0.0000  6 Ga 2.84-2.94
Ga 0.1157 0.6157 0.5000  1 Ga 2.64, 6 Mg 2.84-2.94
Pb 0.0000 0.0000 0.5000  2 Pb 3.24, 4 Ga 3.24, 8 Mg 3.38

Values from the calculation:
- Formation energy: -0.0895 eV/atom
- Energy above the lowest structure with this stoichiometry: 0.0 kJ/mol of atoms

---

Entry 5:
This record from Alexandria describes a geometry-optimized Mg2Ga2Pd structure. The functional is PBEsol.

Lattice parameters (Å, degrees): 6.5309 6.5309 4.1185 90.00 90.00 90.00
With the nearest neighbours (Å) after each atom.
Space group P4/mbm (No. 127)
Asymmetric unit:
Mg 0.1723 0.3277 0.0000  6 Ga 2.72-2.89
Ga 0.1355 0.6355 0.5000  1 Ga 2.50, 2 Pd 2.54, 2 Mg 2.72
Pd 0.0000 0.0000 0.5000  4 Ga 2.54

Values from the calculation:
- Formation energy: -0.3671 eV/atom

---

Entry 6:
This record from Alexandria describes a geometry-optimized Pm2MgGa structure. The functional is PBEsol.

Lattice parameters (Å, degrees): 7.3774 7.3774 7.3774 90.00 90.00 90.00
With the nearest neighbours (Å) after each atom.
Space group Fm-3m (No. 225)
Asymmetric unit:
Pm 0.2500 0.2500 0.2500  4 Mg 3.19, 4 Ga 3.19
Mg 0.0000 0.0000 0.0000  8 Pm 3.19
Ga 0.0000 0.0000 0.5000  8 Pm 3.19

Values from the calculation:
- Formation energy: -0.3488 eV/atom

---

Entry 7:
This record from Alexandria describes a geometry-optimized Mg2GaPt2 structure. The functional is PBEsol.

Lattice parameters (Å, degrees): 6.5543 6.5543 3.9794 90.00 90.00 90.00
With the nearest neighbours (Å) after each atom.
Space group P4/mbm (No. 127)
Asymmetric unit:
Mg 0.1584 0.3416 0.0000  6 Pt 2.68-2.83, 1 Mg 2.94
Ga 0.0000 0.0000 0.5000  4 Pt 2.50
Pt 0.1476 0.6476 0.5000  2 Ga 2.50, 2 Mg 2.68, 1 Pt 2.74

Values from the calculation:
- Formation energy: -0.6590 eV/atom

---

Entry 8:
This record from Alexandria describes a geometry-optimized Mg2GaPt2 structure. The functional is PBEsol.

Lattice parameters (Å, degrees): 3.8665 3.8665 12.1628 90.00 90.00 90.00
With the nearest neighbours (Å) after each atom.
Space group I4/mmm (No. 139)
Asymmetric unit:
Mg 0.0000 0.5000 0.2500  4 Pt 2.62, 4 Mg 2.73
Ga 0.0000 0.0000 0.0000  8 Pt 3.02
Pt 0.0000 0.0000 0.3950  1 Pt 2.55, 4 Mg 2.62

Values from the calculation:
- Formation energy: -0.2637 eV/atom

---

Entry 9:
This record from Alexandria describes a geometry-optimized Rb2MgGa structure. The functional is PBEsol.

Lattice parameters (Å, degrees): 8.6837 8.6837 8.6837 90.00 90.00 90.00
With the nearest neighbours (Å) after each atom.
Space group Fm-3m (No. 225)
Asymmetric unit:
Rb 0.2500 0.2500 0.2500  4 Mg 3.76, 4 Ga 3.76
Mg 0.0000 0.0000 0.0000  8 Rb 3.76
Ga 0.0000 0.0000 0.5000  8 Rb 3.76

Values from the calculation:
- Formation energy: 0.3788 eV/atom

---

Entry 10:
This record from Alexandria describes a geometry-optimized Rb2MgScGa structure. The functional is PBEsol.

Lattice parameters (Å, degrees): 6.5329 6.5329 5.8148 90.00 90.00 90.00
With the nearest neighbours (Å) after each atom.
Space group P4/mmm (No. 123)
Asymmetric unit:
Rb 0.0000 0.5000 0.0000  2 Mg 3.27
Mg 0.0000 0.0000 0.0000  2 Sc 2.91
Sc 0.0000 0.0000 0.5000  2 Mg 2.91
Ga 0.5000 0.5000 0.5000  8 Rb 4.37, 4 Sc 4.62

Values from the calculation:
- Formation energy: 0.9391 eV/atom

---

Entry 11:
This record from Alexandria describes a geometry-optimized RbMg2GaTe structure. The functional is PBEsol.

Lattice parameters (Å, degrees): 5.9918 5.9918 5.8950 90.00 90.00 90.00
With the nearest neighbours (Å) after each atom.
Space group P4/mmm (No. 123)
Asymmetric unit:
Rb 0.0000 0.0000 0.0000  2 Ga 2.95, 4 Mg 3.00
Mg 0.0000 0.5000 0.0000  2 Rb 3.00
Ga 0.0000 0.0000 0.5000  2 Rb 2.95
Te 0.5000 0.5000 0.5000  8 Mg 4.20, 4 Ga 4.24

Values from the calculation:
- Uncorrected formation energy: 1.06 eV/atom

---

Entry 12:
This record from Alexandria describes a geometry-optimized Mg3GaRe structure. The functional is PBEsol.

Lattice parameters (Å, degrees): 5.0453 5.0453 5.0453 90.00 90.00 90.00
With the nearest neighbours (Å) after each atom.
Space group Pm-3m (No. 221)
Asymmetric unit:
Mg 0.0000 0.0000 0.5000  2 Re 2.52
Ga 0.5000 0.5000 0.5000  12 Mg 3.57
Re 0.0000 0.0000 0.0000  6 Mg 2.52

Values from the calculation:
- Formation energy: 1.0854 eV/atom

---

Short version: calculated density = 3.1; 4.7; 5.9; 6.2; 5.6; 6.4; 9.9; 9.3; 2.7; 2.1; 2.6; 4.3 g cm⁻³, in the order given.
Short version: energy = -3.713; -2.466; -2.849; -2.912; -3.582; -4.181; -4.799; -4.404; -1.398; -1.803; -1.201; -3.279 eV/atom, in the order given.